# Eu2NiI

Eu2NiI after structural relaxation (PBE-GGA, Alexandria via LeMat-Bulk).

Computed properties:
Energy above the lowest structure with this stoichiometry, meV/atom: 82
M_tot, μB per cell: 14.46
V, Å³/atom: 28.0
Formation energy from raw total energies, eV per atom: -0.546

a b c (Å): 3.720 3.720 8.097
angles (deg): 90.00 90.00 90.00
Atoms (fractional coordinates):
Eu1 0.000 0.000 0.208
Eu2 0.000 0.000 0.792
Ni1 0.500 0.500 0.000
I1 0.500 0.500 0.500